VASP calculation (PBE-GGA) on a relaxed Pr2HgOsC crystal.

Cell lengths 5.333, 5.333, 3.936 Å; angles 90.00, 90.00, 90.00 degrees
Element x y z (fractional)
Pr: 0.000 0.500 0.000
Pr: 0.500 0.000 0.000
Hg: 0.000 0.000 0.500
Os: 0.500 0.500 0.500
C: 0.500 0.500 0.000

Output
Its total energy is -6.365 eV per atom. For the density of states at the Fermi level, the calculation gives 0.503 states/eV/atom. The value obtained for the formation energy is -0.3024 eV/atom. Its symmetry is P4/mmm, No. 123.